First-principles (GGA-PBEsol) data for a relaxed structure of LiTc2Mo, as listed in Alexandria.

a = 3.0306 Å, b = 4.3458 Å, c = 4.9745 Å
α = 115.90°, β = 107.73°, γ = 90.00°
Closest atoms and distances in Å follow each position.
Element x y z (fractional)
Tc 0.7395 0.7395 0.4789  2 Mo 2.52, 4 Tc 2.66, 2 Li 2.67
Tc 0.2605 0.2605 0.5211  2 Mo 2.52, 4 Tc 2.66, 2 Li 2.67
Mo 0.0000 0.5000 0.0000  4 Tc 2.52, 4 Li 2.65
Li 0.5000 0.0000 0.0000  4 Mo 2.65, 8 Tc 2.67-2.96

Output
- Space group: Immm (71)
- Excess energy over the best structure of this formula in the dataset: 0 meV per atom
- Crystal system: orthorhombic
- Energy: -35.2 eV/cell
- ΔH_f (0 K): 0.272 eV per atom

=====

First-principles (GGA-PBEsol) data for a relaxed structure of LiTcMo2, as listed in Alexandria.

a = 2.5721 Å, b = 2.5721 Å, c = 9.0295 Å
α = 90.00°, β = 90.00°, γ = 90.00°
Closest atoms and distances in Å follow each position.
Element x y z (fractional)
Li 0.5000 0.5000 0.7426  4 Li 2.57, 4 Tc 2.86
Mo 0.5000 0.5000 0.2554  4 Mo 2.57, 4 Tc 2.85
Mo 0.0000 0.0000 0.0039  4 Mo 2.57
Tc 0.0000 0.0000 0.4981  4 Tc 2.57, 4 Mo 2.85, 4 Li 2.86

Output
- Space group: P4mm (99)
- Excess energy over the best structure of this formula in the dataset: 170 meV per atom
- Crystal system: tetragonal
- Energy: -35.0 eV/cell
- ΔH_f (0 K): 0.443 eV per atom

=====

First-principles (GGA-PBEsol) data for a relaxed structure of LiTc2Mo, as listed in Alexandria.

a = 4.2539 Å, b = 4.2539 Å, c = 4.2539 Å
α = 60.00°, β = 60.00°, γ = 60.00°
Closest atoms and distances in Å follow each position.
Element x y z (fractional)
Tc 0.0000 0.0000 0.0000  4 Mo 2.60, 4 Tc 2.60
Tc 0.7500 0.7500 0.7500  4 Li 2.60, 4 Tc 2.60
Mo 0.2500 0.2500 0.2500  4 Li 2.60, 4 Tc 2.60
Li 0.5000 0.5000 0.5000  4 Tc 2.60, 4 Mo 2.60

Output
- Space group: F-43m (216)
- Excess energy over the best structure of this formula in the dataset: 34 meV per atom
- Crystal system: cubic
- Energy: -35.0 eV/cell
- ΔH_f (0 K): 0.306 eV per atom

=====

First-principles (GGA-PBEsol) data for a relaxed structure of Li2TcMo, as listed in Alexandria.

a = 3.1052 Å, b = 3.8913 Å, c = 5.3132 Å
α = 111.48°, β = 106.99°, γ = 90.00°
Closest atoms and distances in Å follow each position.
Element x y z (fractional)
Tc 0.0000 0.5000 0.0000  4 Mo 2.49
Li 0.7468 0.7468 0.4935  4 Li 2.49
Li 0.2532 0.2532 0.5065  4 Li 2.49
Mo 0.5000 0.0000 0.0000  4 Tc 2.49

Output
- Space group: Immm (71)
- Crystal system: orthorhombic
- Energy: -25.6 eV/cell
- ΔH_f (0 K): 0.345 eV per atom

=====

First-principles (GGA-PBEsol) data for a relaxed structure of LiTc2Mo, as listed in Alexandria.

a = 2.5806 Å, b = 4.5818 Å, c = 4.9261 Å
α = 92.22°, β = 90.00°, γ = 106.36°
Closest atoms and distances in Å follow each position.
Element x y z (fractional)
Tc 0.0008 0.0015 0.0054  5 Tc 2.55-2.80, 3 Mo 2.58-2.84, 4 Li 2.75-2.81
Tc 0.7518 0.5037 0.2539  5 Tc 2.55-2.80, 3 Li 2.57-2.76, 4 Mo 2.73-2.83
Mo 0.2483 0.4966 0.7417  3 Li 2.55-2.77, 7 Tc 2.58-2.84, 2 Mo 2.58
Li 0.4991 0.9982 0.4990  3 Mo 2.55-2.77, 7 Tc 2.57-2.81, 2 Li 2.58

Output
- Space group: Cm (8)
- Excess energy over the best structure of this formula in the dataset: 104 meV per atom
- Crystal system: monoclinic
- Energy: -34.8 eV/cell
- ΔH_f (0 K): 0.376 eV per atom

=====

First-principles (GGA-PBEsol) data for a relaxed structure of LiTcMo2, as listed in Alexandria.

a = 4.2939 Å, b = 4.2939 Å, c = 4.2939 Å
α = 60.00°, β = 60.00°, γ = 60.00°
Closest atoms and distances in Å follow each position.
Element x y z (fractional)
Mo 0.0000 0.0000 0.0000  4 Mo 2.63, 4 Tc 2.63
Mo 0.7500 0.7500 0.7500  4 Li 2.63, 4 Mo 2.63
Li 0.5000 0.5000 0.5000  4 Mo 2.63, 4 Tc 2.63
Tc 0.2500 0.2500 0.2500  4 Mo 2.63, 4 Li 2.63

Output
- Space group: F-43m (216)
- Excess energy over the best structure of this formula in the dataset: 76 meV per atom
- Crystal system: cubic
- Energy: -35.4 eV/cell
- ΔH_f (0 K): 0.349 eV per atom

=====

First-principles (GGA-PBEsol) data for a relaxed structure of LiTcMo2, as listed in Alexandria.

a = 2.5890 Å, b = 4.3626 Å, c = 5.1194 Å
α = 90.00°, β = 99.79°, γ = 90.00°
Closest atoms and distances in Å follow each position.
Element x y z (fractional)
Tc 0.5000 0.5000 0.0000  2 Tc 2.59, 2 Li 2.66, 4 Mo 2.67
Mo 0.2448 0.0000 0.2496  4 Mo 2.59-2.68, 2 Li 2.66, 2 Tc 2.67
Mo 0.7552 0.0000 0.7504  4 Mo 2.59-2.68, 2 Li 2.66, 2 Tc 2.67
Li 0.0000 0.5000 0.5000  2 Li 2.59, 4 Mo 2.66, 2 Tc 2.66

Output
- Space group: P2/m (10)
- Excess energy over the best structure of this formula in the dataset: 0 meV per atom
- Crystal system: monoclinic
- Energy: -35.7 eV/cell
- ΔH_f (0 K): 0.273 eV per atom

=====

First-principles (GGA-PBEsol) data for a relaxed structure of LiTe2Mo, as listed in Alexandria.

a = 4.9658 Å, b = 4.9658 Å, c = 4.9658 Å
α = 60.00°, β = 60.00°, γ = 60.00°
Closest atoms and distances in Å follow each position.
Element x y z (fractional)
Te 0.7500 0.7500 0.7500  4 Li 3.04, 4 Te 3.04
Te 0.0000 0.0000 0.0000  4 Mo 3.04, 4 Te 3.04
Mo 0.2500 0.2500 0.2500  4 Li 3.04, 4 Te 3.04
Li 0.5000 0.5000 0.5000  4 Te 3.04, 4 Mo 3.04

Output
- Space group: F-43m (216)
- Excess energy over the best structure of this formula in the dataset: 863 meV per atom
- Crystal system: cubic
- Formation energy from raw total energies: 15.1 kcal/mol of atoms
- Energy: -18.2 eV/cell

=====

First-principles (GGA-PBEsol) data for a relaxed structure of LiTe2Mo, as listed in Alexandria.

a = 3.4227 Å, b = 3.5639 Å, c = 7.4058 Å
α = 103.92°, β = 103.36°, γ = 90.00°
Closest atoms and distances in Å follow each position.
Element x y z (fractional)
Te 0.7092 0.2092 0.4185  4 Mo 2.76, 2 Li 2.87
Te 0.9453 0.9453 0.8905  2 Mo 2.68, 4 Li 2.86
Mo 0.2973 0.7973 0.5945  6 Te 2.68-2.76
Li 0.5482 0.5482 0.0964  6 Te 2.86-2.87

Output
- Space group: Imm2 (44)
- Excess energy over the best structure of this formula in the dataset: 0 meV per atom
- Crystal system: orthorhombic
- Formation energy from raw total energies: -4.8 kcal/mol of atoms
- Energy: -21.6 eV/cell

=====

First-principles (GGA-PBEsol) data for a relaxed structure of LiTeMo, as listed in Alexandria.

a = 3.2435 Å, b = 3.2435 Å, c = 6.6331 Å
α = 90.00°, β = 90.00°, γ = 120.00°
Closest atoms and distances in Å follow each position.
Element x y z (fractional)
Te 0.6667 0.3333 0.3666  3 Mo 2.64
Mo 0.3333 0.6667 0.6472  3 Te 2.64, 3 Li 2.93
Li 0.0000 0.0000 0.9861  3 Mo 2.93, 3 Te 3.14, 6 Li 3.24

Output
- Space group: P3m1 (156)
- Crystal system: trigonal
- Formation energy from raw total energies: 7.3 kcal/mol of atoms
- Energy: -16.3 eV/cell

=====

First-principles (GGA-PBEsol) data for a relaxed structure of LiYTeMo2, as listed in Alexandria.

a = 4.8285 Å, b = 4.8239 Å, c = 4.8239 Å
α = 90.00°, β = 90.00°, γ = 90.00°
Closest atoms and distances in Å follow each position.
Element x y z (fractional)
Mo 0.0000 0.5000 0.0000  2 Y 2.41
Mo 0.0000 0.0000 0.5000  2 Y 2.41
Li 0.5000 0.0000 0.0000  2 Y 2.41
Y 0.0000 0.0000 0.0000  4 Mo 2.41, 2 Li 2.41
Te 0.5000 0.5000 0.5000  4 Li 3.41, 8 Mo 3.41

Output
- Space group: P4/mmm (123)
- Crystal system: tetragonal
- Formation energy from raw total energies: 41.4 kcal/mol of atoms
- Energy: -26.9 eV/cell

=====

First-principles (GGA-PBEsol) data for a relaxed structure of LiTi3Mo, as listed in Alexandria.

a = 4.7431 Å, b = 4.7431 Å, c = 4.7431 Å
α = 90.00°, β = 90.00°, γ = 90.00°
Closest atoms and distances in Å follow each position.
Element x y z (fractional)
Li 0.5000 0.5000 0.5000  12 Ti 3.35
Mo 0.0000 0.0000 0.0000  6 Ti 2.37
Ti 0.0000 0.5000 0.0000  2 Mo 2.37
Ti 0.0000 0.0000 0.5000  2 Mo 2.37
Ti 0.5000 0.0000 0.0000  2 Mo 2.37

Output
- Space group: Pm-3m (221)
- Crystal system: cubic
- Energy: -34.6 eV/cell
- ΔH_f (0 K): 0.829 eV per atom

=====

First-principles (GGA-PBEsol) data for a relaxed structure of Li3TiMo, as listed in Alexandria.

a = 4.6081 Å, b = 4.6081 Å, c = 4.6081 Å
α = 90.00°, β = 90.00°, γ = 90.00°
Closest atoms and distances in Å follow each position.
Element x y z (fractional)
Ti 0.5000 0.5000 0.5000  12 Li 3.26
Mo 0.0000 0.0000 0.0000  6 Li 2.30
Li 0.0000 0.5000 0.0000  2 Mo 2.30
Li 0.5000 0.0000 0.0000  2 Mo 2.30
Li 0.0000 0.0000 0.5000  2 Mo 2.30

Output
- Space group: Pm-3m (221)
- Crystal system: cubic
- Energy: -18.3 eV/cell
- ΔH_f (0 K): 1.537 eV per atom

=====

First-principles (GGA-PBEsol) data for a relaxed structure of Li2YTiMo, as listed in Alexandria.

a = 4.7956 Å, b = 4.7956 Å, c = 4.9512 Å
α = 90.00°, β = 90.00°, γ = 90.00°
Closest atoms and distances in Å follow each position.
Element x y z (fractional)
Li 0.0000 0.5000 0.0000  2 Mo 2.40
Li 0.5000 0.0000 0.0000  2 Mo 2.40
Ti 0.5000 0.5000 0.5000  4 Y 3.39, 8 Li 3.45
Y 0.0000 0.0000 0.5000  2 Mo 2.48
Mo 0.0000 0.0000 0.0000  4 Li 2.40, 2 Y 2.48

Output
- Space group: P4/mmm (123)
- Crystal system: tetragonal
- Energy: -24.2 eV/cell
- ΔH_f (0 K): 1.321 eV per atom

=====

First-principles (GGA-PBEsol) data for a relaxed structure of LiTl2Mo, as listed in Alexandria.

a = 3.7235 Å, b = 3.7235 Å, c = 5.7279 Å
α = 90.00°, β = 90.00°, γ = 90.00°
Closest atoms and distances in Å follow each position.
Element x y z (fractional)
Tl 0.0000 0.0000 0.9372  1 Li 2.54, 4 Mo 2.79
Tl 0.5000 0.5000 0.2897  2 Mo 2.80-2.93, 4 Li 2.88
Mo 0.5000 0.5000 0.7787  6 Tl 2.79-2.93, 4 Li 3.10
Li 0.0000 0.0000 0.4944  1 Tl 2.54

Output
- Space group: P4mm (99)
- Excess energy over the best structure of this formula in the dataset: 171 meV per atom
- Crystal system: tetragonal
- Energy: -17.0 eV/cell
- ΔH_f (0 K): 0.502 eV per atom

=====

First-principles (GGA-PBEsol) data for a relaxed structure of LiTlMo, as listed in Alexandria.

a = 2.8050 Å, b = 2.8050 Å, c = 7.0389 Å
α = 101.49°, β = 101.49°, γ = 90.00°
Closest atoms and distances in Å follow each position.
Element x y z (fractional)
Tl 0.3352 0.3352 0.6704  4 Tl 2.81, 4 Li 3.00, 4 Mo 3.05
Mo 0.6632 0.6632 0.3265  4 Mo 2.81, 4 Li 2.95, 4 Tl 3.05
Li 0.0015 0.0015 0.0031  4 Li 2.81, 4 Mo 2.95, 4 Tl 3.00

Output
- Space group: I4mm (107)
- Crystal system: tetragonal
- Energy: -14.8 eV/cell
- ΔH_f (0 K): 0.512 eV per atom

=====

First-principles (GGA-PBEsol) data for a relaxed structure of LiTlMo4, as listed in Alexandria.

a = 5.2544 Å, b = 5.2544 Å, c = 5.2544 Å
α = 60.00°, β = 60.00°, γ = 60.00°
Closest atoms and distances in Å follow each position.
Element x y z (fractional)
Mo 0.3734 0.3734 0.3734  6 Mo 2.59-2.66
Mo 0.3734 0.8800 0.3734  6 Mo 2.59-2.66
Mo 0.8800 0.3734 0.3734  6 Mo 2.59-2.66
Mo 0.3734 0.3734 0.8800  6 Mo 2.59-2.66
Tl 0.7500 0.7500 0.7500  12 Mo 3.08, 4 Li 3.22
Li 0.0000 0.0000 0.0000  12 Mo 3.08, 4 Tl 3.22

Output
- Space group: F-43m (216)
- Crystal system: cubic
- Energy: -48.0 eV/cell
- ΔH_f (0 K): 0.616 eV per atom

=====

First-principles (GGA-PBEsol) data for a relaxed structure of LiTl2Mo, as listed in Alexandria.

a = 3.0858 Å, b = 3.0858 Å, c = 9.5876 Å
α = 80.74°, β = 80.74°, γ = 60.00°
Closest atoms and distances in Å follow each position.
Element x y z (fractional)
Mo 0.0000 0.0000 0.0000  6 Tl 2.98, 6 Mo 3.09
Tl 0.7511 0.7511 0.7467  3 Li 2.93, 3 Mo 2.98, 6 Tl 3.09
Tl 0.2489 0.2489 0.2533  3 Li 2.93, 3 Mo 2.98, 6 Tl 3.09
Li 0.5000 0.5000 0.5000  6 Tl 2.93, 6 Li 3.09

Output
- Space group: R-3m (166)
- Excess energy over the best structure of this formula in the dataset: 0 meV per atom
- Crystal system: trigonal
- Energy: -17.7 eV/cell
- ΔH_f (0 K): 0.330 eV per atom

=====

First-principles (GGA-PBEsol) data for a relaxed structure of LiTl2Mo, as listed in Alexandria.

a = 3.0523 Å, b = 3.6537 Å, c = 6.6040 Å
α = 90.00°, β = 90.00°, γ = 90.00°
Closest atoms and distances in Å follow each position.
Element x y z (fractional)
Mo 0.5000 0.5000 0.5000  8 Tl 2.93, 2 Mo 3.05
Li 0.5000 0.5000 0.0000  8 Tl 2.86, 2 Li 3.05
Tl 0.0000 0.0000 0.7587  4 Li 2.86, 4 Mo 2.93, 3 Tl 3.05-3.19
Tl 0.0000 0.0000 0.2413  4 Li 2.86, 4 Mo 2.93, 3 Tl 3.05-3.19

Output
- Space group: Pmmm (47)
- Excess energy over the best structure of this formula in the dataset: 10 meV per atom
- Crystal system: orthorhombic
- Energy: -17.6 eV/cell
- ΔH_f (0 K): 0.340 eV per atom

=====

First-principles (GGA-PBEsol) data for a relaxed structure of LiMo2W, as listed in Alexandria.

a = 3.1779 Å, b = 3.1779 Å, c = 5.6731 Å
α = 90.00°, β = 90.00°, γ = 90.00°
Closest atoms and distances in Å follow each position.
Element x y z (fractional)
Mo 0.0000 0.0000 0.9831  4 Li 2.60, 1 W 2.65, 4 Mo 2.71
Mo 0.5000 0.5000 0.2498  4 W 2.71, 4 Mo 2.71, 2 Li 2.83-2.84
W 0.0000 0.0000 0.5159  4 Li 2.61, 5 Mo 2.65-2.71
Li 0.5000 0.5000 0.7511  6 Mo 2.60-2.84, 4 W 2.61

Output
- Space group: P4mm (99)
- Excess energy over the best structure of this formula in the dataset: 4 meV per atom
- Crystal system: tetragonal
- Energy: -37.4 eV/cell
- ΔH_f (0 K): 0.483 eV per atom